# ZrNbTlH2 | the Alexandria database | PBE | relaxed
# Electronic total energy ... -4.94 eV per atom
data_ZrNbTlH2
_cell_length_a 4.066
_cell_length_b 4.066
_cell_length_c 5.278
_cell_angle_alpha 90.00
_cell_angle_beta 90.00
_cell_angle_gamma 90.00
_space_group_name_H-M_alt 'P 4/m m m'
_space_group_IT_number 123
_space_group_name_Hall '-P 4 2'
loop_
_atom_site_label
_atom_site_fract_x
_atom_site_fract_y
_atom_site_fract_z
Zr1 0.000 0.000 0.000
Nb1 0.000 0.000 0.500
Tl1 0.500 0.500 0.000
H1 0.000 0.500 0.500

***

# Ba2YZnCl | the Alexandria database | PBE | relaxed
# Uncorrected formation energy ... 0.127 eV/atom
data_Ba2YZnCl
_cell_length_a 6.624
_cell_length_b 6.624
_cell_length_c 5.135
_cell_angle_alpha 90.00
_cell_angle_beta 90.00
_cell_angle_gamma 90.00
_space_group_name_H-M_alt 'P 4/m m m'
_space_group_IT_number 123
_space_group_name_Hall '-P 4 2'
loop_
_atom_site_label
_atom_site_fract_x
_atom_site_fract_y
_atom_site_fract_z
Ba1 0.000 0.500 0.000
Y1 0.000 0.000 0.500
Zn1 0.500 0.500 0.000
Cl1 0.500 0.500 0.500

***

# PrErTmCu | the Alexandria database | PBE | relaxed
# ΔE_f ... -0.11 eV per atom
data_PrErTmCu
_cell_length_a 3.494
_cell_length_b 3.494
_cell_length_c 8.718
_cell_angle_alpha 90.00
_cell_angle_beta 90.00
_cell_angle_gamma 90.00
_space_group_name_H-M_alt 'P 4 m m'
_space_group_IT_number 99
_space_group_name_Hall 'P 4 -2'
loop_
_atom_site_label
_atom_site_fract_x
_atom_site_fract_y
_atom_site_fract_z
Pr1 0.000 0.000 0.000
Er1 0.500 0.500 0.689
Tm1 0.500 0.500 0.310
Cu1 0.000 0.000 0.497

***

# Rb2ThSnS4 | the Alexandria database | PBE | relaxed
# Uncorrected formation energy ... -1.364 eV/atom
data_Rb2ThSnS4
_cell_length_a 7.437
_cell_length_b 4.266
_cell_length_c 7.989
_cell_angle_alpha 90.00
_cell_angle_beta 107.54
_cell_angle_gamma 90.00
_space_group_name_H-M_alt 'P 1 2/m 1'
_space_group_IT_number 10
_space_group_name_Hall '-P 2y'
loop_
_atom_site_label
_atom_site_fract_x
_atom_site_fract_y
_atom_site_fract_z
Rb1 0.000 0.000 0.000
Rb2 0.500 0.500 0.000
Th1 0.000 0.500 0.500
Sn1 0.500 0.000 0.500
S1 0.219 0.000 0.695
S2 0.249 0.500 0.304

***

# Hf2Al5Fe2Rh | the Alexandria database | PBE | relaxed
# ΔE_f ... -0.45 eV per atom
data_Hf2Al5Fe2Rh
_cell_length_a 8.766
_cell_length_b 8.766
_cell_length_c 3.980
_cell_angle_alpha 90.00
_cell_angle_beta 90.00
_cell_angle_gamma 90.00
_space_group_name_H-M_alt 'P 4/m b m'
_space_group_IT_number 127
_space_group_name_Hall '-P 4 2ab'
loop_
_atom_site_label
_atom_site_fract_x
_atom_site_fract_y
_atom_site_fract_z
Hf1 0.173 0.327 0.000
Al1 0.000 0.500 0.500
Al2 0.069 0.793 0.500
Fe1 0.119 0.619 0.000
Rh1 0.000 0.000 0.000

***

# Tm4AgPd2 | the Alexandria database | PBE | relaxed
# ΔE_f ... -0.50 eV per atom
# Offset from the most stable computed form ... 0.083 eV/atom
data_Tm4AgPd2
_cell_length_a 4.5589
_cell_length_b 4.5589
_cell_length_c 29.6015
_cell_angle_alpha 90.00
_cell_angle_beta 90.00
_cell_angle_gamma 120.00
_space_group_name_H-M_alt 'R -3 m'
_space_group_IT_number 166
_space_group_name_Hall '-R 3 2"'
loop_
_atom_site_label
_atom_site_fract_x
_atom_site_fract_y
_atom_site_fract_z
Tm1 0.0000 0.0000 0.1155
Tm2 0.0000 0.0000 0.2980
Ag1 0.0000 0.0000 0.5000
Pd1 0.0000 0.0000 0.4024

***

# TaPd3Pt | the Alexandria database | PBE | relaxed
# ΔE_f ... -0.44 eV per atom
# Offset from the most stable computed form ... 0.000 eV/atom
data_TaPd3Pt
_cell_length_a 4.867
_cell_length_b 4.550
_cell_length_c 14.110
_cell_angle_alpha 90.00
_cell_angle_beta 90.00
_cell_angle_gamma 90.00
_space_group_name_H-M_alt 'P n m a'
_space_group_IT_number 62
_space_group_name_Hall '-P 2ac 2n'
loop_
_atom_site_label
_atom_site_fract_x
_atom_site_fract_y
_atom_site_fract_z
Ta1 0.167 0.250 0.100
Pd1 0.165 0.250 0.902
Pd2 0.167 0.250 0.302
Pd3 0.167 0.250 0.500
Pt1 0.169 0.250 0.699

***

# SrOsAu2 | the Alexandria database | PBE | relaxed
# ΔE_f ... 0.65 eV per atom
# Offset from the most stable computed form ... 0.314 eV/atom
data_SrOsAu2
_cell_length_a 6.929
_cell_length_b 6.929
_cell_length_c 6.929
_cell_angle_alpha 90.00
_cell_angle_beta 90.00
_cell_angle_gamma 90.00
_space_group_name_H-M_alt 'F -4 3 m'
_space_group_IT_number 216
_space_group_name_Hall 'F -4 2 3'
loop_
_atom_site_label
_atom_site_fract_x
_atom_site_fract_y
_atom_site_fract_z
Sr1 0.000 0.000 0.000
Os1 0.250 0.250 0.250
Au1 0.000 0.000 0.500
Au2 0.250 0.250 0.750